Record 1
First-principles (PBE-GGA) data for CaGdIrRh after structural relaxation, as listed in the Alexandria database.

Cell: 6.8659 6.8659 6.8659 Å, 90.00 90.00 90.00°
Last column: nearest neighbours and their distance in Å.
Fractional positions:
Ca1 0.0000 0.0000 0.0000  4 Rh 2.97, 4 Ir 2.97
Ca2 0.0000 0.5000 0.5000  4 Ir 2.97, 4 Rh 2.97
Ca3 0.5000 0.0000 0.5000  4 Ir 2.97, 4 Rh 2.97
Ca4 0.5000 0.5000 0.0000  4 Ir 2.97, 4 Rh 2.97
Gd1 0.0000 0.0000 0.5000  4 Ir 2.97, 4 Rh 2.97
Gd2 0.0000 0.5000 0.0000  4 Ir 2.97, 4 Rh 2.97
Gd3 0.5000 0.0000 0.0000  4 Ir 2.97, 4 Rh 2.97
Gd4 0.5000 0.5000 0.5000  4 Ir 2.97, 4 Rh 2.97
Ir1 0.2500 0.2500 0.7500  4 Gd 2.97, 4 Ca 2.97
Ir2 0.2500 0.7500 0.2500  4 Gd 2.97, 4 Ca 2.97
Ir3 0.7500 0.2500 0.2500  4 Gd 2.97, 4 Ca 2.97
Ir4 0.7500 0.7500 0.7500  4 Gd 2.97, 4 Ca 2.97
Rh1 0.2500 0.2500 0.2500  4 Gd 2.97, 4 Ca 2.97
Rh2 0.2500 0.7500 0.7500  4 Gd 2.97, 4 Ca 2.97
Rh3 0.7500 0.2500 0.7500  4 Gd 2.97, 4 Ca 2.97
Rh4 0.7500 0.7500 0.2500  4 Gd 2.97, 4 Ca 2.97

As for the space-group type: F-43m, No. 216.


Record 2
First-principles (PBE-GGA) data for CaGdIrSe after structural relaxation, as listed in the Alexandria database.

Cell: 7.0685 7.0685 7.0685 Å, 90.00 90.00 90.00°
Last column: nearest neighbours and their distance in Å.
Fractional positions:
Ca1 0.0000 0.0000 0.0000  4 Se 3.06, 4 Ir 3.06
Ca2 0.0000 0.5000 0.5000  4 Se 3.06, 4 Ir 3.06
Ca3 0.5000 0.0000 0.5000  4 Se 3.06, 4 Ir 3.06
Ca4 0.5000 0.5000 0.0000  4 Se 3.06, 4 Ir 3.06
Gd1 0.0000 0.0000 0.5000  4 Ir 3.06, 4 Se 3.06
Gd2 0.0000 0.5000 0.0000  4 Ir 3.06, 4 Se 3.06
Gd3 0.5000 0.0000 0.0000  4 Ir 3.06, 4 Se 3.06
Gd4 0.5000 0.5000 0.5000  4 Ir 3.06, 4 Se 3.06
Ir1 0.2500 0.2500 0.7500  4 Gd 3.06, 4 Ca 3.06
Ir2 0.2500 0.7500 0.2500  4 Gd 3.06, 4 Ca 3.06
Ir3 0.7500 0.2500 0.2500  4 Gd 3.06, 4 Ca 3.06
Ir4 0.7500 0.7500 0.7500  4 Gd 3.06, 4 Ca 3.06
Se1 0.2500 0.2500 0.2500  4 Gd 3.06, 4 Ca 3.06
Se2 0.2500 0.7500 0.7500  4 Gd 3.06, 4 Ca 3.06
Se3 0.7500 0.2500 0.7500  4 Gd 3.06, 4 Ca 3.06
Se4 0.7500 0.7500 0.2500  4 Gd 3.06, 4 Ca 3.06

The calculation puts the uncorrected formation energy at -3.47 eV per formula unit. As for the space-group type: F-43m, No. 216.


Record 3
First-principles (PBE-GGA) data for CaGdTlIr after structural relaxation, as listed in the Alexandria database.

Cell: 7.2435 7.2435 7.2435 Å, 90.00 90.00 90.00°
Last column: nearest neighbours and their distance in Å.
Fractional positions:
Ca1 0.0000 0.0000 0.0000  4 Tl 3.14, 4 Ir 3.14
Ca2 0.0000 0.5000 0.5000  4 Tl 3.14, 4 Ir 3.14
Ca3 0.5000 0.0000 0.5000  4 Tl 3.14, 4 Ir 3.14
Ca4 0.5000 0.5000 0.0000  4 Tl 3.14, 4 Ir 3.14
Gd1 0.0000 0.0000 0.5000  4 Tl 3.14, 4 Ir 3.14
Gd2 0.0000 0.5000 0.0000  4 Tl 3.14, 4 Ir 3.14
Gd3 0.5000 0.0000 0.0000  4 Tl 3.14, 4 Ir 3.14
Gd4 0.5000 0.5000 0.5000  4 Tl 3.14, 4 Ir 3.14
Tl1 0.2500 0.2500 0.7500  4 Gd 3.14, 4 Ca 3.14
Tl2 0.2500 0.7500 0.2500  4 Gd 3.14, 4 Ca 3.14
Tl3 0.7500 0.2500 0.2500  4 Gd 3.14, 4 Ca 3.14
Tl4 0.7500 0.7500 0.7500  4 Gd 3.14, 4 Ca 3.14
Ir1 0.2500 0.2500 0.2500  4 Gd 3.14, 4 Ca 3.14
Ir2 0.2500 0.7500 0.7500  4 Gd 3.14, 4 Ca 3.14
Ir3 0.7500 0.2500 0.7500  4 Gd 3.14, 4 Ca 3.14
Ir4 0.7500 0.7500 0.2500  4 Gd 3.14, 4 Ca 3.14

As for the space-group type: F-43m, No. 216.


Number 1: calculated volume 324 Å³ per cell, raw total energy -8.596 eV/atom. Number 2: calculated volume 353 Å³ per cell, raw total energy -7.974 eV/atom. Number 3: calculated volume 380 Å³ per cell, raw total energy -7.178 eV/atom.